[1]
# Mn2ZnPd, optimized geometry, DFT PBE-GGA
# - formation enthalpy at 0 K (eV per atom) = -0.06
data_Mn2ZnPd
_chemical_formula_sum 'Mn2 Zn1 Pd1'
_symmetry_space_group_name_H-M 'P 4/m m m'
_symmetry_Int_Tables_number 123
_symmetry_space_group_name_Hall '-P 4 2'
_cell_length_a 3.9606
_cell_length_b 3.9606
_cell_length_c 3.7394
_cell_angle_alpha 90.00
_cell_angle_beta 90.00
_cell_angle_gamma 90.00
loop_
_atom_site_label
_atom_site_type_symbol
_atom_site_fract_x
_atom_site_fract_y
_atom_site_fract_z
Mn1 Mn 0.0000 0.5000 0.0000
Zn1 Zn 0.0000 0.0000 0.5000
Pd1 Pd 0.5000 0.5000 0.5000

[2]
# AcCeTlSn, optimized geometry, DFT PBE-GGA
# - formation enthalpy at 0 K (eV per atom) = -0.40
data_AcCeTlSn
_chemical_formula_sum 'Ac4 Ce4 Tl4 Sn4'
_symmetry_space_group_name_H-M 'F -4 3 m'
_symmetry_Int_Tables_number 216
_symmetry_space_group_name_Hall 'F -4 2 3'
_cell_length_a 8.0094
_cell_length_b 8.0094
_cell_length_c 8.0094
_cell_angle_alpha 90.00
_cell_angle_beta 90.00
_cell_angle_gamma 90.00
loop_
_atom_site_label
_atom_site_type_symbol
_atom_site_fract_x
_atom_site_fract_y
_atom_site_fract_z
Ac1 Ac 0.0000 0.0000 0.0000
Ce1 Ce 0.0000 0.0000 0.5000
Tl1 Tl 0.2500 0.2500 0.7500
Sn1 Sn 0.2500 0.2500 0.2500

[3]
# Pm2DyHg3, optimized geometry, DFT PBE-GGA
# - formation enthalpy at 0 K (eV per atom) = -0.48
data_Pm2DyHg3
_chemical_formula_sum 'Pm2 Dy1 Hg3'
_symmetry_space_group_name_H-M 'P 4/m m m'
_symmetry_Int_Tables_number 123
_symmetry_space_group_name_Hall '-P 4 2'
_cell_length_a 3.7785
_cell_length_b 3.7785
_cell_length_c 11.3836
_cell_angle_alpha 90.00
_cell_angle_beta 90.00
_cell_angle_gamma 90.00
loop_
_atom_site_label
_atom_site_type_symbol
_atom_site_fract_x
_atom_site_fract_y
_atom_site_fract_z
Pm1 Pm 0.0000 0.0000 0.1694
Dy1 Dy 0.0000 0.0000 0.5000
Hg1 Hg 0.5000 0.5000 0.0000
Hg2 Hg 0.5000 0.5000 0.3433

[4]
# InIrAu2, optimized geometry, DFT PBE-GGA
# - formation enthalpy at 0 K (eV per atom) = 0.10
data_InIrAu2
_chemical_formula_sum 'In2 Ir2 Au4'
_symmetry_space_group_name_H-M 'C 1 2/m 1'
_symmetry_Int_Tables_number 12
_symmetry_space_group_name_Hall '-C 2y'
_cell_length_a 5.5601
_cell_length_b 10.1842
_cell_length_c 3.0856
_cell_angle_alpha 90.00
_cell_angle_beta 123.50
_cell_angle_gamma 90.00
loop_
_atom_site_label
_atom_site_type_symbol
_atom_site_fract_x
_atom_site_fract_y
_atom_site_fract_z
In1 In 0.0000 0.0000 0.0000
Ir1 Ir 0.0000 0.5000 0.0000
Au1 Au 0.2500 0.2500 0.5000

[5]
# PmDyZn, optimized geometry, DFT PBE-GGA
# - formation enthalpy at 0 K (eV per atom) = 0.03
# - E above lowest polymorph (eV per atom) = 0.234
data_PmDyZn
_chemical_formula_sum 'Pm4 Dy4 Zn4'
_symmetry_space_group_name_H-M 'F 2 2 2'
_symmetry_Int_Tables_number 22
_symmetry_space_group_name_Hall 'F 2 2'
_cell_length_a 7.0685
_cell_length_b 7.0752
_cell_length_c 7.0823
_cell_angle_alpha 90.00
_cell_angle_beta 90.00
_cell_angle_gamma 90.00
loop_
_atom_site_label
_atom_site_type_symbol
_atom_site_fract_x
_atom_site_fract_y
_atom_site_fract_z
Pm1 Pm 0.0000 0.0000 0.0000
Dy1 Dy 0.0000 0.0000 0.5000
Zn1 Zn 0.2500 0.2500 0.2500

[6]
# Rb3ZnRu, optimized geometry, DFT PBE-GGA
# - formation enthalpy at 0 K (eV per atom) = 0.99
# - E above lowest polymorph (eV per atom) = 0.000
data_Rb3ZnRu
_chemical_formula_sum 'Rb3 Zn1 Ru1'
_symmetry_space_group_name_H-M 'P m -3 m'
_symmetry_Int_Tables_number 221
_symmetry_space_group_name_Hall '-P 4 2 3'
_cell_length_a 6.4688
_cell_length_b 6.4688
_cell_length_c 6.4688
_cell_angle_alpha 90.00
_cell_angle_beta 90.00
_cell_angle_gamma 90.00
loop_
_atom_site_label
_atom_site_type_symbol
_atom_site_fract_x
_atom_site_fract_y
_atom_site_fract_z
Rb1 Rb 0.0000 0.0000 0.5000
Zn1 Zn 0.5000 0.5000 0.5000
Ru1 Ru 0.0000 0.0000 0.0000

[7]
# Tb6CeNd2, optimized geometry, DFT PBE-GGA
# - formation enthalpy at 0 K (eV per atom) = 0.12
# - E above lowest polymorph (eV per atom) = 0.024
data_Tb6CeNd2
_chemical_formula_sum 'Tb24 Ce4 Nd8'
_symmetry_space_group_name_H-M 'C 1 2/c 1'
_symmetry_Int_Tables_number 15
_symmetry_space_group_name_Hall '-C 2yc'
_cell_length_a 16.5669
_cell_length_b 11.7499
_cell_length_c 6.0530
_cell_angle_alpha 90.00
_cell_angle_beta 97.94
_cell_angle_gamma 90.00
loop_
_atom_site_label
_atom_site_type_symbol
_atom_site_fract_x
_atom_site_fract_y
_atom_site_fract_z
Tb1 Tb 0.0539 0.1311 0.0239
Tb2 Tb 0.1095 0.3818 0.3066
Tb3 Tb 0.2148 0.3655 0.8591
Ce1 Ce 0.0000 0.3741 0.7500
Nd1 Nd 0.1685 0.1129 0.5756

[8]
# CoNi2Rh, optimized geometry, DFT PBE-GGA
# - formation enthalpy at 0 K (eV per atom) = 0.15
# - E above lowest polymorph (eV per atom) = 0.138
data_CoNi2Rh
_chemical_formula_sum 'Co2 Ni4 Rh2'
_symmetry_space_group_name_H-M 'I m m m'
_symmetry_Int_Tables_number 71
_symmetry_space_group_name_Hall '-I 2 2'
_cell_length_a 2.6628
_cell_length_b 4.2575
_cell_length_c 8.5358
_cell_angle_alpha 90.00
_cell_angle_beta 90.00
_cell_angle_gamma 90.00
loop_
_atom_site_label
_atom_site_type_symbol
_atom_site_fract_x
_atom_site_fract_y
_atom_site_fract_z
Co1 Co 0.0000 0.0000 0.0000
Ni1 Ni 0.0000 0.5000 0.2607
Rh1 Rh 0.0000 0.0000 0.5000

> Among the records above, which one has the highest formation enthalpy at 0 K?

Rb3ZnRu

> Among the records above, which one has the highest formation enthalpy at 0 K?

Rb3ZnRu

What did the second record say?
# AcCeTlSn, optimized geometry, DFT PBE-GGA
# - formation enthalpy at 0 K (eV per atom) = -0.40
data_AcCeTlSn
_chemical_formula_sum 'Ac4 Ce4 Tl4 Sn4'
_symmetry_space_group_name_H-M 'F -4 3 m'
_symmetry_Int_Tables_number 216
_symmetry_space_group_name_Hall 'F -4 2 3'
_cell_length_a 8.0094
_cell_length_b 8.0094
_cell_length_c 8.0094
_cell_angle_alpha 90.00
_cell_angle_beta 90.00
_cell_angle_gamma 90.00
loop_
_atom_site_label
_atom_site_type_symbol
_atom_site_fract_x
_atom_site_fract_y
_atom_site_fract_z
Ac1 Ac 0.0000 0.0000 0.0000
Ce1 Ce 0.0000 0.0000 0.5000
Tl1 Tl 0.2500 0.2500 0.7500
Sn1 Sn 0.2500 0.2500 0.2500

> Which of these has the highest formation enthalpy at 0 K?

Rb3ZnRu